{
  "formula": "Rb2TlAg",
  "functional": "PBE",
  "state": "optimized geometry",
  "lattice_angstrom": [[4.198, -3.511, 2.984], [-1.891, -4.580, 3.782], [0.827, -5.952, -1.657]],
  "species": ["Rb", "Tl", "Rb", "Ag"],
  "frac_coords": [[0.750, 0.750, 0.750], [0.500, 0.500, 0.500], [0.250, 0.250, 0.250], [0.000, 0.000, 0.000]],
  "dos_at_fermi_per_ev_atom": 1.073,
  "polymorph_energy_ev_per_fu": 0.70,
  "formation_energy_ev_per_atom": 0.170
}